Entry from the Alexandria database: crystalline HfTi2Se at its relaxed geometry (PBE).

Space-group type: I-42d
Calculated total energy, Ry/atom: -0.5465
V, Å³ per cell: 156.9
Total moment, μB per atom: 0.000

Unit cell a=7.722 b=7.722 c=6.061 alpha=50.43 beta=50.43 gamma=90.00
Sites, in units of the cell vectors:
Hf 0.000 0.000 0.000
Hf 0.750 0.250 0.500
Se 0.500 0.500 0.000
Se 0.250 0.750 0.500
Ti 0.564 0.125 0.250
Ti 0.186 0.625 0.250
Ti 0.375 0.436 0.750
Ti 0.875 0.814 0.750